A plane-wave DFT calculation with PBE with a Hubbard U was carried out for crystalline Pm2PuFeO8 at its relaxed geometry.

abc: 4.641 5.178 7.282
angles: 83.03 87.40 83.53
Sites, in units of the cell vectors:
Pm: 0.098 0.017 0.235
Pm: 0.902 0.983 0.765
Pu: 0.500 0.500 0.500
Fe: 0.500 0.500 0.000
O: 0.144 0.734 0.526
O: 0.223 0.792 0.985
O: 0.349 0.381 0.240
O: 0.370 0.214 0.665
O: 0.630 0.786 0.335
O: 0.651 0.619 0.760
O: 0.777 0.208 0.015
O: 0.856 0.266 0.474

**Calculated total energy**: -8.272 eV/atom
**V**: 14.4 Å³ per atom